[1]
A relaxed Th5InSi2 crystal, computed with PBE.

Values from the calculation:
Volume ... 893.50 Å³/cell
E ... -216.9 eV/cell
Formation energy (no corrections) ... -3.55 eV per formula unit
Spin magnetization ... 0.00 μB per formula unit

a = 7.833 Å, b = 7.833 Å, c = 14.562 Å
α = 90.00°, β = 90.00°, γ = 90.00°
Space group I4/mcm (No. 140)
Symmetry-distinct sites (fractional):
Th (0.000, 0.000, 0.000)
Th (0.170, 0.330, 0.138)
In (0.000, 0.000, 0.250)
Si (0.121, 0.379, 0.500)

---

[2]
A relaxed ThInSi2 crystal, computed with PBE.

Values from the calculation:
Volume ... 87.09 Å³/cell
E ... -22.1 eV/cell
Formation energy (no corrections) ... -1.06 eV per formula unit
Spin magnetization ... 0.00 μB per formula unit

a = 4.633 Å, b = 4.633 Å, c = 4.058 Å
α = 90.00°, β = 90.00°, γ = 90.00°
Space group P4/mmm (No. 123)
Symmetry-distinct sites (fractional):
Th (0.000, 0.000, 0.000)
In (0.500, 0.500, 0.000)
Si (0.000, 0.500, 0.500)

---

[3]
A relaxed TiInSi crystal, computed with PBE.

Values from the calculation:
Volume ... 353.95 Å³/cell
E ... -98.4 eV/cell
Formation energy (no corrections) ... -0.34 eV per formula unit
Spin magnetization ... 0.00 μB per formula unit

a = 3.4345 Å, b = 3.4345 Å, c = 34.6493 Å
α = 90.00°, β = 90.00°, γ = 120.00°
Space group R-3m (No. 166, hexagonal axes)
Symmetry-distinct sites (fractional):
Ti (0.0000, 0.0000, 0.1034)
In (0.0000, 0.0000, 0.3712)
Si (0.0000, 0.0000, 0.1838)

---

[4]
A relaxed Ti2InSi2 crystal, computed with PBE.

Values from the calculation:
Volume ... 175.51 Å³/cell
E ... -61.3 eV/cell
Formation energy (no corrections) ... -1.29 eV per formula unit
Spin magnetization ... 0.00 μB per formula unit

a = 3.429 Å, b = 3.429 Å, c = 14.928 Å
α = 90.00°, β = 90.00°, γ = 90.00°
Space group I4/mmm (No. 139)
Symmetry-distinct sites (fractional):
Ti (0.000, 0.000, 0.116)
In (0.000, 0.000, 0.500)
Si (0.000, 0.500, 0.250)

---

Q: Look up the E of the third one.
A: -98.4 eV/cell